No. 1
Below is a geometry-optimized ZnHgBi2H structure, with properties calculated at the PBE-GGA level.

Structure (POSCAR):
```
ZnHgBi2H
1.0
5.779 0.000 0.000
0.000 5.779 0.000
0.000 0.000 3.386
Zn Bi H Hg
1 2 1 1
Direct
0.000 0.000 0.000 Zn
0.500 0.000 0.000 Bi
0.000 0.500 0.000 Bi
0.000 0.000 0.500 H
0.500 0.500 0.500 Hg
```

Computed properties:
Magnetization = 0.00 μB per cell
Energy = -2.3308 eV per atom
Symmetry = P4/mmm (123)

No. 2
Below is a geometry-optimized K4Tl3Hg2 structure, with properties calculated at the PBE-GGA level.

Structure (POSCAR):
```
K4Tl3Hg2
1.0
5.033 0.000 -1.388
-0.668 7.546 -2.421
-0.130 0.044 9.351
K Tl Hg
4 3 2
Direct
0.774 0.319 0.547 K
0.585 0.873 0.169 K
0.226 0.681 0.453 K
0.415 0.127 0.831 K
0.091 0.196 0.182 Tl
0.909 0.804 0.818 Tl
0.000 0.500 0.000 Tl
0.596 0.429 0.193 Hg
0.404 0.571 0.807 Hg
```

Computed properties:
Energy relative to the elements = -131 meV per atom
Magnetization = 0.00 μB per cell
Energy = -1.4745 eV per atom
Symmetry = C2/m (12)

No. 3
Below is a geometry-optimized Ga2AgBi structure, with properties calculated at the PBE-GGA level.

Structure (POSCAR):
```
Ga2AgBi
1.0
-0.875 -4.172 -1.471
3.293 -3.077 -0.144
-0.392 -3.932 4.471
Ga Ag Bi
2 1 1
Direct
0.056 0.056 0.831 Ga
0.268 0.268 0.196 Ga
0.680 0.680 0.959 Ag
0.495 0.495 0.514 Bi
```

Computed properties:
Energy relative to the elements = 103 meV per atom
Magnetization = 0.00 μB per cell
Energy = -3.0930 eV per atom
Symmetry = R3m (160)

No. 4
Below is a geometry-optimized TlPd3Se3 structure, with properties calculated at the PBE-GGA level.

Structure (POSCAR):
```
TlPd3Se3
1.0
-1.389 -4.437 5.282
6.886 -1.215 0.790
0.413 5.325 4.582
Tl Pd Se
2 6 6
Direct
0.000 0.000 0.000 Tl
0.500 0.500 0.500 Tl
0.750 0.500 0.000 Pd
0.250 0.500 0.000 Pd
0.000 0.750 0.500 Pd
0.500 0.000 0.250 Pd
0.000 0.250 0.500 Pd
0.500 0.000 0.750 Pd
0.500 0.750 0.000 Se
0.000 0.500 0.750 Se
0.750 0.000 0.500 Se
0.000 0.500 0.250 Se
0.500 0.250 0.000 Se
0.250 0.000 0.500 Se
```

Computed properties:
Magnetization = 0.00 μB per cell
Energy = -4.2386 eV per atom
Formation energy from raw total energies = -0.182 eV/atom
Symmetry = Pm-3n (223)

No. 5
Below is a geometry-optimized CaLaSc2 structure, with properties calculated at the PBE-GGA level.

Structure (POSCAR):
```
CaLaSc2
1.0
6.494 0.006 0.007
2.850 5.835 -0.007
-4.080 -3.868 3.250
Sc La Ca
2 1 1
Direct
0.005 0.005 0.000 Sc
0.495 0.495 0.000 Sc
0.750 0.250 0.500 La
0.250 0.750 0.500 Ca
```

Computed properties:
Energy relative to the elements = 216 meV per atom
Excess energy over the best structure of this formula in the dataset = 105 meV per atom
Magnetization = 0.00 μB per cell
Energy = -4.6819 eV per atom
Symmetry = Immm (71)

No. 6
Below is a geometry-optimized Ce2InNi3Ge4 structure, with properties calculated at the PBE-GGA level.

Structure (POSCAR):
```
Ce2InNi3Ge4
1.0
4.194 0.000 0.000
0.000 4.194 0.000
0.000 0.000 10.252
Ge In Ce Ni
4 1 2 3
Direct
0.500 0.500 0.000 Ge
0.000 0.500 0.341 Ge
0.500 0.000 0.659 Ge
0.000 0.000 0.000 Ge
0.500 0.500 0.500 In
0.000 0.500 0.769 Ce
0.500 0.000 0.231 Ce
0.000 0.500 0.114 Ni
0.000 0.000 0.500 Ni
0.500 0.000 0.886 Ni
```

Computed properties:
Energy relative to the elements = -583 meV per atom
Magnetization = 0.81 μB per cell
Energy = -5.6246 eV per atom
Symmetry = P-4m2 (115)

No. 7
Below is a geometry-optimized NdDy2Cd2 structure, with properties calculated at the PBE-GGA level.

Structure (POSCAR):
```
NdDy2Cd2
1.0
-4.707 -2.179 -1.525
1.168 -5.169 3.782
-1.332 4.752 6.907
Cd Nd Dy
4 2 4
Direct
0.377 0.910 0.753 Cd
0.212 0.145 0.424 Cd
0.623 0.410 0.247 Cd
0.788 0.645 0.576 Cd
0.414 0.411 0.828 Nd
0.586 0.911 0.172 Nd
0.196 0.642 0.392 Dy
0.970 0.758 0.939 Dy
0.804 0.142 0.608 Dy
0.030 0.258 0.061 Dy
```

Computed properties:
Energy relative to the elements = -183 meV per atom
Excess energy over the best structure of this formula in the dataset = 70 meV per atom
Magnetization = 0.00 μB per cell
Energy = -3.3434 eV per atom
Symmetry = Cmc2_1 (36)

No. 8
Below is a geometry-optimized Li3InO structure, with properties calculated at the PBE-GGA level.

Structure (POSCAR):
```
Li3InO
1.0
5.086 0.000 0.000
0.000 5.086 0.000
0.000 0.000 5.086
Li O In
3 1 1
Direct
0.000 0.500 0.000 Li
0.500 0.000 0.000 Li
0.000 0.000 0.500 Li
0.500 0.500 0.500 O
0.000 0.000 0.000 In
```

Computed properties:
Excess energy over the best structure of this formula in the dataset = 1499 meV per atom
Magnetization = 1.85 μB per cell
Energy = -2.0949 eV per atom
Formation energy from raw total energies = 0.593 eV/atom
Symmetry = Pm-3m (221)